1.
The following is a DFT calculation (PBE) of crystalline Rb3HI3 at its relaxed geometry.

Computed properties:
* total magnetization: 1.00 μB per formula unit
* total DFT energy (no corrections): -34.5 eV per cell

a b c (Å): 9.117 9.117 9.557
angles (deg): 90.46 90.46 117.21
Last column: magnetic moment on the atom in μB.
Sites, in units of the cell vectors:
Rb 0.122 0.122 0.748  0.00
Rb 0.490 0.121 0.253  0.00
Rb 0.878 0.878 0.252  0.00
Rb 0.121 0.490 0.253  0.00
Rb 0.879 0.510 0.747  0.00
Rb 0.510 0.879 0.747  0.00
H 0.871 0.871 0.927  0.32
H 0.129 0.129 0.073  0.32
I 0.830 0.170 0.500  0.00
I 0.169 0.831 0.000  0.12
I 0.831 0.169 0.000  0.12
I 0.170 0.830 0.500  0.00
I 0.487 0.487 0.748  0.02
I 0.513 0.513 0.252  0.02

=====

2.
The following is a DFT calculation (PBE) of crystalline RbH2I4 at its relaxed geometry.

Computed properties:
* total magnetization: 1.04 μB per formula unit
* total DFT energy (no corrections): -32.4 eV per cell
* DOS at the Fermi energy: 0.7 states/eV/f.u.

a b c (Å): 8.838 8.853 13.972
angles (deg): 79.44 106.77 145.93
Last column: magnetic moment on the atom in μB.
Sites, in units of the cell vectors:
I 0.353 0.684 0.834  0.04
I 0.382 0.229 0.336  0.04
I 0.779 0.045 0.399  0.30
I 0.807 0.480 0.147  0.29
I 0.614 0.365 0.619  0.06
I 0.628 0.376 0.905  0.29
I 0.502 0.756 0.115  0.05
I 0.909 0.081 0.640  0.29
Rb 0.208 0.701 0.511  0.00
Rb 0.066 0.053 0.010  0.00
H 0.177 0.432 0.748  0.00
H 0.620 0.854 0.240  0.00
H 0.554 0.319 0.252  0.00
H 0.650 0.375 0.745  0.00

=====

> The lowest total DFT energy (no corrections) belongs to which entry?

Rb3HI3

=====

> The highest total DFT energy (no corrections) belongs to which entry?

RbH2I4

=====

> Number 2 is which compound?

RbH2I4

=====

> Number 2 is which compound?

RbH2I4